(1)
# PuThCo5, optimized geometry, DFT GGA-PBE
# Total DFT energy (no corrections), eV/atom: -8.31
# Fermi-level density of states, states/eV/atom: 1.6675
data_PuThCo5
_chemical_formula_sum 'Pu4 Th4 Co20'
_cell_length_a 4.912
_cell_length_b 8.321
_cell_length_c 10.491
_cell_angle_alpha 90.00
_cell_angle_beta 90.00
_cell_angle_gamma 90.00
_symmetry_space_group_name_H-M 'P 1'
_symmetry_Int_Tables_number 1
_symmetry_space_group_name_Hall 'P 1'
loop_
_atom_site_label
_atom_site_type_symbol
_atom_site_fract_x
_atom_site_fract_y
_atom_site_fract_z
Co1 Co 0.250 0.679 0.238
Co2 Co 0.750 0.435 0.986
Co3 Co 0.497 0.422 0.186
Co4 Co 0.250 0.179 0.262
Co5 Co 0.997 0.578 0.814
Co6 Co 0.003 0.422 0.186
Co7 Co 0.750 0.561 0.612
Co8 Co 0.003 0.922 0.314
Co9 Co 0.497 0.922 0.314
Co10 Co 0.750 0.061 0.888
Co11 Co 0.250 0.439 0.388
Co12 Co 0.750 0.321 0.762
Co13 Co 0.750 0.821 0.738
Co14 Co 0.750 0.935 0.514
Co15 Co 0.250 0.939 0.112
Co16 Co 0.503 0.078 0.686
Co17 Co 0.250 0.565 0.014
Co18 Co 0.997 0.078 0.686
Co19 Co 0.503 0.578 0.814
Co20 Co 0.250 0.065 0.486
Th1 Th 0.750 0.742 0.062
Th2 Th 0.250 0.258 0.938
Th3 Th 0.750 0.242 0.438
Th4 Th 0.250 0.758 0.562
Pu1 Pu 0.250 0.380 0.632
Pu2 Pu 0.250 0.880 0.868
Pu3 Pu 0.750 0.120 0.132
Pu4 Pu 0.750 0.620 0.368

***

(2)
# PuTh2Co, optimized geometry, DFT GGA-PBE
# Total DFT energy (no corrections), eV/atom: -9.07
# Polymorph energy (0 for the lowest one), meV per atom: 0
# Fermi-level density of states, states/eV/atom: 2.3476
data_PuTh2Co
_chemical_formula_sum 'Pu1 Th2 Co1'
_cell_length_a 3.805
_cell_length_b 3.805
_cell_length_c 8.983
_cell_angle_alpha 77.77
_cell_angle_beta 77.77
_cell_angle_gamma 60.00
_symmetry_space_group_name_H-M 'P 1'
_symmetry_Int_Tables_number 1
_symmetry_space_group_name_Hall 'P 1'
loop_
_atom_site_label
_atom_site_type_symbol
_atom_site_fract_x
_atom_site_fract_y
_atom_site_fract_z
Co1 Co 0.666 0.666 0.003
Th1 Th 0.061 0.061 0.816
Th2 Th 0.272 0.272 0.184
Pu1 Pu 0.501 0.501 0.497

***

(3)
# Pu2ThCo9, optimized geometry, DFT GGA-PBE
# Total DFT energy (no corrections), eV/atom: -8.51
# Fermi-level density of states, states/eV/atom: 1.7941
data_Pu2ThCo9
_chemical_formula_sum 'Pu2 Th1 Co9'
_cell_length_a 4.932
_cell_length_b 4.932
_cell_length_c 8.674
_cell_angle_alpha 73.49
_cell_angle_beta 73.49
_cell_angle_gamma 60.00
_symmetry_space_group_name_H-M 'P 1'
_symmetry_Int_Tables_number 1
_symmetry_space_group_name_Hall 'P 1'
loop_
_atom_site_label
_atom_site_type_symbol
_atom_site_fract_x
_atom_site_fract_y
_atom_site_fract_z
Co1 Co 0.500 0.500 0.500
Co2 Co 0.918 0.417 0.249
Co3 Co 0.666 0.666 0.001
Co4 Co 0.583 0.583 0.751
Co5 Co 0.583 0.082 0.751
Co6 Co 0.334 0.334 0.999
Co7 Co 0.082 0.583 0.751
Co8 Co 0.417 0.417 0.249
Co9 Co 0.417 0.918 0.249
Pu1 Pu 0.860 0.860 0.420
Pu2 Pu 0.140 0.140 0.580
Th1 Th 0.000 0.000 0.000

***

Number 1: DFT formation energy -0.131 eV/atom. Number 2: DFT formation energy 0.003 eV/atom. Number 3: DFT formation energy -0.170 eV/atom.